(1)
The following is a meta-GGA SCAN calculation of Tl5Se2Cl at its PBEsol-relaxed geometry, from Alexandria.

```
Tl5Se2Cl
1.0
8.4557 0.0000 0.0000
0.0000 8.4557 0.0000
0.0000 0.0000 12.5701
Tl Se Cl
20 8 4
Cartesian
0.7451 5.2207 1.2747
0.7451 7.4628 7.5597
0.9928 4.9730 5.0104
0.9928 7.7105 11.2954
2.1139 2.1139 2.5736
2.1139 2.1139 8.8586
3.2350 4.9730 11.2954
3.2350 7.7105 5.0104
3.4827 5.2207 7.5597
3.4827 7.4628 1.2747
4.9730 0.9928 11.2954
4.9730 3.2350 5.0104
5.2207 0.7451 7.5597
5.2207 3.4827 1.2747
6.3417 6.3417 3.7115
6.3417 6.3417 9.9965
7.4628 0.7451 1.2747
7.4628 3.4827 7.5597
7.7105 0.9928 5.0104
7.7105 3.2350 11.2954
0.7853 5.0131 9.4275
0.7853 7.6704 3.1425
3.4426 5.0131 3.1425
3.4426 7.6704 9.4275
5.0131 0.7853 3.1425
5.0131 3.4426 9.4275
7.6704 0.7853 9.4275
7.6704 3.4426 3.1425
2.1139 2.1139 5.7005
2.1139 2.1139 11.9856
6.3417 6.3417 0.5845
6.3417 6.3417 6.8695
```

Uncorrected formation energy: -0.5711 eV/atom
Symmetry: P4/ncc (130)
Crystal system: tetragonal



(2)
The following is a meta-GGA SCAN calculation of TlSe2Cl at its PBEsol-relaxed geometry, from Alexandria.

```
TlSe2Cl
1.0
3.9193 0.0000 0.0000
0.0000 3.9193 0.0000
0.0000 0.0000 6.5711
Tl Se Cl
1 2 1
Cartesian
0.0000 0.0000 0.0000
0.0000 1.9597 3.2856
1.9597 0.0000 3.2856
1.9597 1.9597 0.0000
```

Uncorrected formation energy: -0.2193 eV/atom
Symmetry: P4/mmm (123)
Crystal system: tetragonal
Energy relative to the lowest polymorph listed for this composition: 135 meV per atom



(3)
The following is a meta-GGA SCAN calculation of TlSe2Cl at its PBEsol-relaxed geometry, from Alexandria.

```
TlSe2Cl
1.0
2.1034 1.2144 7.8076
-2.1034 1.2144 7.8076
0.0000 -2.4288 7.8076
Tl Se Cl
1 2 1
Cartesian
0.0000 0.0000 0.0000
0.0000 0.0000 9.2705
0.0000 0.0000 14.1523
0.0000 0.0000 11.7114
```

Uncorrected formation energy: -0.0246 eV/atom
Symmetry: R-3m (166)
Crystal system: trigonal
Energy relative to the lowest polymorph listed for this composition: 330 meV per atom



(4)
The following is a meta-GGA SCAN calculation of TlSe2Cl at its PBEsol-relaxed geometry, from Alexandria.

```
TlSe2Cl
1.0
3.0996 0.0000 0.0000
0.0000 3.0996 0.0000
0.0000 0.0000 9.0485
Tl Se Cl
1 2 1
Cartesian
0.0000 0.0000 0.0000
1.5498 1.5498 2.4593
1.5498 1.5498 6.5892
0.0000 0.0000 4.5242
```

Uncorrected formation energy: 0.4065 eV/atom
Symmetry: P4/mmm (123)
Crystal system: tetragonal
Energy relative to the lowest polymorph listed for this composition: 761 meV per atom



(5)
The following is a meta-GGA SCAN calculation of Tl2Se2Cl at its PBEsol-relaxed geometry, from Alexandria.

```
Tl2Se2Cl
1.0
-1.9493 1.9493 8.8171
1.9493 -1.9493 8.8171
1.9493 1.9493 -8.8171
Tl Se Cl
2 2 1
Cartesian
0.0000 0.0000 1.7427
0.0000 0.0000 15.8915
1.9493 0.0000 4.4085
0.0000 1.9493 4.4085
0.0000 0.0000 8.8171
```

Uncorrected formation energy: -0.5136 eV/atom
Symmetry: I4/mmm (139)
Crystal system: tetragonal



(6)
The following is a meta-GGA SCAN calculation of Y2SeCl at its PBEsol-relaxed geometry, from Alexandria.

```
Y2SeCl
1.0
3.7772 0.0000 0.0000
0.0000 5.5537 0.0000
0.0000 0.0000 4.1725
Y Se Cl
2 1 1
Cartesian
0.0000 0.0000 0.0000
1.8886 2.7768 1.8059
1.8886 0.0000 2.0795
0.0000 2.7768 3.8993
```

Uncorrected formation energy: -1.5990 eV/atom
Symmetry: Pmm2 (25)
Crystal system: orthorhombic



(7)
The following is a meta-GGA SCAN calculation of YSe3Cl at its PBEsol-relaxed geometry, from Alexandria.

```
YSe3Cl
1.0
4.8736 0.0000 0.0000
0.0000 4.8736 0.0000
0.0000 0.0000 4.8736
Y Se Cl
1 3 1
Cartesian
0.0000 0.0000 0.0000
0.0000 2.4368 2.4368
2.4368 0.0000 2.4368
2.4368 2.4368 0.0000
2.4368 2.4368 2.4368
```

Uncorrected formation energy: -0.2168 eV/atom
Symmetry: Pm-3m (221)
Crystal system: cubic
Energy relative to the lowest polymorph listed for this composition: 99 meV per atom



(8)
The following is a meta-GGA SCAN calculation of YSeCl2 at its PBEsol-relaxed geometry, from Alexandria.

```
YSeCl2
1.0
0.0000 3.4378 3.4378
3.4378 0.0000 3.4378
3.4378 3.4378 0.0000
Y Se Cl
1 1 2
Cartesian
0.0000 0.0000 0.0000
3.4378 3.4378 3.4378
1.7189 1.7189 1.7189
5.1566 5.1566 5.1566
```

Uncorrected formation energy: -1.2374 eV/atom
Symmetry: Fm-3m (225)
Crystal system: cubic
Energy relative to the lowest polymorph listed for this composition: 469 meV per atom



(9)
The following is a meta-GGA SCAN calculation of YSeCl2 at its PBEsol-relaxed geometry, from Alexandria.

```
YSeCl2
1.0
3.9275 0.0000 0.0000
0.0000 4.4910 0.0000
0.0000 0.0000 4.6836
Y Se Cl
1 1 2
Cartesian
0.0000 0.0000 0.0000
1.9638 0.0000 2.3418
0.0000 2.2455 2.3418
1.9638 2.2455 0.0000
```

Uncorrected formation energy: -1.3173 eV/atom
Symmetry: Pmmm (47)
Crystal system: orthorhombic
Energy relative to the lowest polymorph listed for this composition: 389 meV per atom



(10)
The following is a meta-GGA SCAN calculation of YSeCl2 at its PBEsol-relaxed geometry, from Alexandria.

```
YSeCl2
1.0
-2.1348 2.1348 4.4493
2.1348 -2.1348 4.4493
2.1348 2.1348 -4.4493
Y Se Cl
1 1 2
Cartesian
0.0000 0.0000 0.0000
2.1348 0.0000 2.2246
0.0000 0.0000 4.4493
0.0000 2.1348 2.2246
```

Uncorrected formation energy: -1.3693 eV/atom
Symmetry: I-4m2 (119)
Crystal system: tetragonal
Energy relative to the lowest polymorph listed for this composition: 337 meV per atom



(11)
The following is a meta-GGA SCAN calculation of YSeCl2 at its PBEsol-relaxed geometry, from Alexandria.

```
YSeCl2
1.0
-1.7826 2.4058 6.5333
1.7826 -2.4058 6.5333
1.7826 2.4058 -6.5333
Y Se Cl
1 1 2
Cartesian
0.0000 0.0000 0.0000
0.0000 0.0000 6.5333
1.7826 0.0000 2.0182
0.0000 2.4058 4.5151
```

Uncorrected formation energy: -1.7067 eV/atom
Symmetry: Immm (71)
Crystal system: orthorhombic
Energy relative to the lowest polymorph listed for this composition: 0 meV per atom



(12)
The following is a meta-GGA SCAN calculation of YSe3Cl at its PBEsol-relaxed geometry, from Alexandria.

```
YSe3Cl
1.0
5.3833 0.0000 0.0000
0.0000 5.3833 0.0000
0.0000 0.0000 5.3833
Y Se Cl
1 3 1
Cartesian
0.0000 0.0000 0.0000
0.0000 0.0000 2.6916
0.0000 2.6916 0.0000
2.6916 0.0000 0.0000
2.6916 2.6916 2.6916
```

Uncorrected formation energy: -0.3159 eV/atom
Symmetry: Pm-3m (221)
Crystal system: cubic
Energy relative to the lowest polymorph listed for this composition: 0 meV per atom